This record from the Alexandria database describes BeNiOs2 after structural relaxation. The functional is PBE-GGA.

Cell: 2.661 3.759 5.042 Å, 90.00 101.72 90.00°
Space group P2/m (No. 10)
Unique sites:
Be 0.000 0.000 0.000 x1
Ni 0.000 0.000 0.500 x1
Os 0.374 0.500 0.233 x2

Energy of formation = 76 kJ/mol of formula units
Theoretical density = 15.1 g/cm3

---

This record from the Alexandria database describes BaLi2Ag2 after structural relaxation. The functional is PBE-GGA.

Cell: 4.958 4.958 10.498 Å, 90.00 90.00 90.00°
Space group I4/mmm (No. 139)
Unique sites:
Ba 0.000 0.000 0.000 x2
Li 0.000 0.000 0.351 x4
Ag 0.000 0.500 0.250 x4

Energy of formation = -81 kJ/mol of formula units
Theoretical density = 4.7 g/cm3
Energy above the most stable polymorph in this dataset = 33 meV per atom

---

This record from the Alexandria database describes Rb3Ce2SmTe6 after structural relaxation. The functional is PBE-GGA.

Cell: 8.081 13.999 8.953 Å, 90.00 107.51 90.00°
Space group C2/m (No. 12)
Unique sites:
Rb 0.000 0.000 0.000 x2
Rb 0.000 0.333 0.000 x4
Ce 0.000 0.167 0.500 x4
Sm 0.000 0.500 0.500 x2
Te 0.233 0.335 0.704 x8
Te 0.238 0.000 0.704 x4

Theoretical density = 5.0 g/cm3
Formation energy without anion corrections = -16.31 eV/f.u.

---

This record from the Alexandria database describes PaGaTcPd after structural relaxation. The functional is PBE-GGA.

Cell: 6.626 6.626 6.626 Å, 90.00 90.00 90.00°
Space group F-43m (No. 216)
Unique sites:
Pa 0.000 0.000 0.000 x4
Ga 0.000 0.000 0.500 x4
Tc 0.250 0.250 0.750 x4
Pd 0.250 0.250 0.250 x4

Energy of formation = -127 kJ/mol of formula units
Theoretical density = 11.5 g/cm3

---

This record from the Alexandria database describes La3Zn2Pd3 after structural relaxation. The functional is PBE-GGA.

Cell: 8.053 15.571 5.957 Å, 90.00 90.00 90.00°
Space group Pnma (No. 62)
Unique sites:
La 0.048 0.104 0.150 x8
La 0.186 0.250 0.623 x4
Zn 0.105 0.603 0.360 x8
Pd 0.171 0.750 0.602 x4
Pd 0.190 0.038 0.584 x8

Energy of formation = -528 kJ/mol of formula units
Theoretical density = 7.7 g/cm3

---

This record from the Alexandria database describes PrCrB4 after structural relaxation. The functional is PBE-GGA.

Cell: 6.058 11.718 3.569 Å, 90.00 90.00 90.00°
Space group Pbam (No. 55)
Unique sites:
Pr 0.122 0.151 0.000 x4
Cr 0.119 0.423 0.000 x4
B 0.025 0.688 0.500 x4
B 0.111 0.545 0.500 x4
B 0.143 0.967 0.500 x4
B 0.227 0.819 0.500 x4

Energy of formation = -283 kJ/mol of formula units
Theoretical density = 6.2 g/cm3